Ca4TlRe | PBE-GGA | relaxed

formation energy from the elements: 0.99 eV/atom
M_tot: 0.32 μB/atom
final energy: -16.9 eV/f.u.
SG: F-43m
DOS at the Fermi energy: 1.30 states/eV per atom

abc: 6.2114 6.2114 6.2114
angles: 60.00 60.00 60.00
Last column: nearest neighbours and their distance in Å.
Atoms (fractional coordinates):
1 Ca 0.8709 0.3764 0.3764  6 Ca 3.07-3.14
2 Ca 0.3764 0.3764 0.8709  6 Ca 3.07-3.14
3 Ca 0.3764 0.8709 0.3764  6 Ca 3.07-3.14
4 Ca 0.3764 0.3764 0.3764  6 Ca 3.07-3.14
5 Tl 0.0000 0.0000 0.0000  12 Ca 3.65, 4 Re 3.80
6 Re 0.7500 0.7500 0.7500  12 Ca 3.64, 4 Tl 3.80